# 1
A geometry-optimized LaSm2Si2 structure. Source: the Alexandria database, functional PBE-GGA.

Calculated values
The calculation puts the uncorrected formation energy at -615 meV/atom. For the polymorph energy (0 for the lowest one), the calculation gives 0 meV/atom. As for the crystal system: tetragonal.

Lattice parameters (Å, degrees): 4.222 7.828 7.828 90.00 90.00 90.00
Positions (direct):
Si  0.000  0.890  0.610
Si  0.000  0.110  0.390
Si  0.000  0.610  0.110
Si  0.000  0.390  0.890
Sm  0.500  0.824  0.324
Sm  0.500  0.676  0.824
Sm  0.500  0.324  0.176
Sm  0.500  0.176  0.676
La  0.000  0.000  0.000
La  0.000  0.500  0.500


# 2
A geometry-optimized MgAlBr2 structure. Source: the Alexandria database, functional PBE-GGA.

Calculated values
The calculation puts the uncorrected formation energy at -357 meV/atom. For the polymorph energy (0 for the lowest one), the calculation gives 281 meV/atom. As for the crystal system: tetragonal.

Lattice parameters (Å, degrees): 3.386 3.386 9.928 90.00 90.00 90.00
Positions (direct):
Br  0.000  0.000  0.416
Br  0.000  0.000  0.084
Al  0.500  0.500  0.750
Mg  0.500  0.500  0.250


# 3
A geometry-optimized Pr3ScSb2 structure. Source: the Alexandria database, functional PBE-GGA.

Calculated values
The calculation puts the uncorrected formation energy at -831 meV/atom. As for the crystal system: orthorhombic.

Lattice parameters (Å, degrees): 4.403 4.702 9.235 104.75 103.79 90.00
Positions (direct):
Pr  0.177  0.677  0.355
Pr  0.823  0.323  0.645
Pr  0.500  0.500  0.000
Sc  0.000  0.000  0.000
Sb  0.367  0.867  0.735
Sb  0.633  0.133  0.265


# 4
A geometry-optimized RbZnAsSe3 structure. Source: the Alexandria database, functional PBE-GGA.

Calculated values
The calculation puts the uncorrected formation energy at -628 meV/atom. As for the crystal system: monoclinic.

Lattice parameters (Å, degrees): 4.046 9.350 9.994 109.50 90.00 90.00
Positions (direct):
As  0.250  0.660  0.120
As  0.750  0.340  0.880
Se  0.250  0.143  0.871
Se  0.750  0.458  0.139
Se  0.250  0.542  0.861
Se  0.750  0.196  0.530
Se  0.750  0.857  0.129
Se  0.250  0.804  0.470
Zn  0.750  0.910  0.390
Zn  0.250  0.090  0.610
Rb  0.250  0.200  0.241
Rb  0.750  0.800  0.759


# 5
A geometry-optimized Tb15Pm4Er structure. Source: the Alexandria database, functional PBE-GGA.

Calculated values
For the formation enthalpy at 0 K, the calculation gives 0.02 eV per atom. As for the crystal system: tetragonal.

Lattice parameters (Å, degrees): 5.059 5.059 25.267 90.00 90.00 90.00
Positions (direct):
Tb  0.500  0.500  0.000
Tb  0.000  0.500  0.500
Tb  0.500  0.000  0.901
Tb  0.500  0.500  0.801
Tb  0.500  0.000  0.099
Tb  0.500  0.000  0.701
Tb  0.000  0.500  0.701
Tb  0.500  0.000  0.299
Tb  0.000  0.500  0.299
Tb  0.000  0.500  0.901
Tb  0.500  0.000  0.500
Tb  0.500  0.500  0.600
Tb  0.500  0.500  0.400
Tb  0.000  0.500  0.099
Tb  0.500  0.500  0.199
Pm  0.000  0.000  0.600
Pm  0.000  0.000  0.400
Pm  0.000  0.000  0.199
Pm  0.000  0.000  0.801
Er  0.000  0.000  0.000


# 6
A geometry-optimized RbBaPmCl6 structure. Source: the Alexandria database, functional PBE-GGA.

Calculated values
The calculation puts the uncorrected formation energy at -2302 meV/atom. As for the crystal system: trigonal.

Lattice parameters (Å, degrees): 7.790 7.790 13.415 90.00 90.00 120.00
Positions (direct):
Ba  0.667  0.333  0.750
Ba  0.333  0.667  0.250
Rb  0.000  0.000  0.500
Rb  0.000  0.000  0.000
Cl  0.965  0.617  0.364
Cl  0.383  0.348  0.364
Cl  0.617  0.965  0.864
Cl  0.383  0.035  0.136
Cl  0.652  0.035  0.364
Cl  0.035  0.383  0.636
Cl  0.348  0.383  0.864
Cl  0.035  0.652  0.864
Cl  0.652  0.617  0.136
Cl  0.965  0.348  0.136
Cl  0.617  0.652  0.636
Cl  0.348  0.965  0.636
Pm  0.667  0.333  0.250
Pm  0.333  0.667  0.750


We obtain total magnetization values of 0.00 0.00 0.00 0.00 0.00 0.00 μB/cell for the records listed above, in that order.